1.
## SrIn2As (PBEsol)

Data for a relaxed SrIn2As crystal.

Computed properties:
space group: P4mm, No. 99
formation enthalpy at 0 K: -37.94 kJ/mol of atoms

Lattice parameters (Å, degrees): 3.9140 3.9140 6.8140 90.00 90.00 90.00
Closest atoms and distances in Å follow each position.
Atoms (fractional coordinates):
Sr 0.0000 0.0000 0.5184  5 In 3.20-3.50, 4 As 3.33
As 0.5000 0.5000 0.7908  5 In 2.81-3.08
In 0.0000 0.0000 0.9879  4 As 3.08, 4 In 3.13, 1 Sr 3.20
In 0.5000 0.5000 0.2028  1 As 2.81, 4 In 3.13

2.
## InAgBr2 (PBEsol)

Data for a relaxed InAgBr2 crystal.

Computed properties:
uncorrected formation energy: -0.2557 eV/atom
space group: P4/mmm, No. 123

Lattice parameters (Å, degrees): 3.6252 5.2197 5.2197 90.00 90.00 90.00
Closest atoms and distances in Å follow each position.
Atoms (fractional coordinates):
Br 0.0000 0.0000 0.5000  4 Ag 3.18, 4 In 3.18
Br 0.0000 0.5000 0.0000  4 In 3.18, 4 Ag 3.18
Ag 0.5000 0.0000 0.0000  8 Br 3.18
In 0.5000 0.5000 0.5000  8 Br 3.18

3.
## HfBePt3 (PBEsol)

Data for a relaxed HfBePt3 crystal.

Computed properties:
space group: Pm-3m, No. 221
formation enthalpy at 0 K: -47.32 kJ/mol of atoms

Lattice parameters (Å, degrees): 4.2343 4.2343 4.2343 90.00 90.00 90.00
Closest atoms and distances in Å follow each position.
Atoms (fractional coordinates):
Be 0.0000 0.0000 0.0000  6 Pt 2.12
Hf 0.5000 0.5000 0.5000  12 Pt 2.99
Pt 0.0000 0.5000 0.0000  2 Be 2.12
Pt 0.0000 0.0000 0.5000  2 Be 2.12
Pt 0.5000 0.0000 0.0000  2 Be 2.12

4.
## BaMgP2O7 (PBEsol)

Data for a relaxed BaMgP2O7 crystal.

Computed properties:
uncorrected formation energy: -2.6939 eV/atom
space group: P2_1/c, No. 14

Lattice parameters (Å, degrees): 5.4812 8.5654 12.7528 90.00 91.46 90.00
Closest atoms and distances in Å follow each position.
Atoms (fractional coordinates):
Ba 0.2616 0.3752 0.2024  8 O 2.71-2.90
Ba 0.2384 0.8752 0.2976  8 O 2.71-2.90
Ba 0.7384 0.6248 0.7976  8 O 2.71-2.90
Ba 0.7616 0.1248 0.7024  8 O 2.71-2.90
Mg 0.7087 0.1647 0.3753  5 O 1.99-2.16
Mg 0.7913 0.6647 0.1247  5 O 1.99-2.16
Mg 0.2913 0.8353 0.6247  5 O 1.99-2.16
Mg 0.2087 0.3353 0.8753  5 O 1.99-2.16
P 0.7121 0.3157 0.0187  4 O 1.52-1.63
P 0.7879 0.8158 0.4813  4 O 1.52-1.63
P 0.2879 0.6842 0.9813  4 O 1.52-1.63
P 0.2121 0.1842 0.5187  4 O 1.52-1.63
P 0.7285 0.5623 0.3311  4 O 1.51-1.61
P 0.7715 0.0623 0.1689  4 O 1.51-1.61
P 0.2715 0.4377 0.6689  4 O 1.51-1.61
P 0.2285 0.9377 0.8311  4 O 1.51-1.61
O 0.9833 0.5984 0.2907  1 P 1.53
O 0.5167 0.0984 0.2093  1 P 1.53
O 0.0167 0.4016 0.7093  1 P 1.53
O 0.4833 0.9016 0.7907  1 P 1.53
O 0.4352 0.3118 0.0015  1 P 1.53
O 0.0648 0.8118 0.4985  1 P 1.53
O 0.5648 0.6882 0.9985  1 P 1.53
O 0.9352 0.1882 0.5015  1 P 1.53
O 0.6678 0.3918 0.3463  1 P 1.51
O 0.8322 0.8918 0.1537  1 P 1.51
O 0.3322 0.6082 0.6537  1 P 1.51
O 0.1678 0.1082 0.8463  1 P 1.51
O 0.8506 0.3462 0.9188  1 P 1.52
O 0.6494 0.8462 0.5812  1 P 1.52
O 0.1494 0.6538 0.0812  1 P 1.52
O 0.3506 0.1538 0.4188  1 P 1.52
O 0.1993 0.8579 0.9447  2 P 1.61-1.63
O 0.3007 0.3579 0.5553  2 P 1.61-1.63
O 0.8007 0.1421 0.0553  2 P 1.61-1.63
O 0.6993 0.6421 0.4447  2 P 1.61-1.63
O 0.0435 0.8626 0.7525  1 P 1.55
O 0.4565 0.3626 0.7475  1 P 1.55
O 0.9565 0.1374 0.2475  1 P 1.55
O 0.5435 0.6374 0.2525  1 P 1.55
O 0.2832 0.0770 0.6106  1 P 1.53
O 0.2168 0.5770 0.8894  1 P 1.53
O 0.7168 0.9230 0.3894  1 P 1.53
O 0.7832 0.4230 0.1106  1 P 1.53